Record 1
Compound: YHgH3
Source: Alexandria
Functional: GGA-PBE
Structure: optimized geometry

crystal system: cubic
E: -15.50 eV per formula unit
theoretical density: 7848 kg/m³
energy above the lowest structure with this stoichiometry: 449 meV/atom
DOS at the Fermi energy: 0.444 states/eV/atom

a = 3.956 Å, b = 3.956 Å, c = 3.956 Å
α = 90.00°, β = 90.00°, γ = 90.00°
Sites, in units of the cell vectors:
H1 0.000 0.500 0.000
H2 0.500 0.000 0.000
H3 0.000 0.000 0.500
Hg1 0.000 0.000 0.000
Y1 0.500 0.500 0.500


Record 2
Compound: Ho8Tl4AsSe3
Source: Alexandria
Functional: GGA-PBE
Structure: optimized geometry

crystal system: monoclinic
raw formation energy: -1.005 eV/atom
E: -77.27 eV per formula unit
theoretical density: 9552 kg/m³
DOS at the Fermi energy: 0.529 states/eV/atom

a = 7.877 Å, b = 9.127 Å, c = 7.896 Å
α = 115.76°, β = 119.92°, γ = 90.00°
Sites, in units of the cell vectors:
Ho1 0.763 0.284 0.020
Ho2 0.260 0.280 0.520
Ho3 0.740 0.720 0.480
Ho4 0.237 0.716 0.473
Ho5 0.763 0.284 0.527
Ho6 0.257 0.284 0.020
Ho7 0.237 0.716 0.980
Ho8 0.743 0.716 0.980
Se1 0.500 0.500 0.000
Se2 0.000 0.500 0.500
Se3 0.500 0.500 0.500
Tl1 0.500 0.000 0.500
Tl2 0.000 0.000 0.000
Tl3 0.500 0.000 0.000
Tl4 0.000 0.000 0.500
As1 0.000 0.500 0.000


Record 3
Compound: Sm8Ho3Tm3
Source: Alexandria
Functional: GGA-PBE
Structure: optimized geometry

crystal system: orthorhombic
E: -63.35 eV per formula unit
theoretical density: 8016 kg/m³
DOS at the Fermi energy: 1.379 states/eV/atom

a = 5.629 Å, b = 9.668 Å, c = 9.668 Å
α = 101.85°, β = 73.07°, γ = 73.07°
Sites, in units of the cell vectors:
Sm1 0.162 0.441 0.235
Sm2 0.838 0.559 0.765
Sm3 0.162 0.235 0.441
Sm4 0.658 0.566 0.119
Sm5 0.838 0.765 0.559
Sm6 0.658 0.119 0.566
Sm7 0.342 0.434 0.881
Sm8 0.342 0.881 0.434
Ho1 0.000 0.820 0.180
Ho2 0.000 0.180 0.820
Ho3 0.500 0.000 0.000
Tm1 0.199 0.801 0.801
Tm2 0.801 0.199 0.199
Tm3 0.500 0.500 0.500


Copy entry 3 word for word.
Compound: Sm8Ho3Tm3
Source: Alexandria
Functional: GGA-PBE
Structure: optimized geometry

crystal system: orthorhombic
E: -63.35 eV per formula unit
theoretical density: 8016 kg/m³
DOS at the Fermi energy: 1.379 states/eV/atom

a = 5.629 Å, b = 9.668 Å, c = 9.668 Å
α = 101.85°, β = 73.07°, γ = 73.07°
Sites, in units of the cell vectors:
Sm1 0.162 0.441 0.235
Sm2 0.838 0.559 0.765
Sm3 0.162 0.235 0.441
Sm4 0.658 0.566 0.119
Sm5 0.838 0.765 0.559
Sm6 0.658 0.119 0.566
Sm7 0.342 0.434 0.881
Sm8 0.342 0.881 0.434
Ho1 0.000 0.820 0.180
Ho2 0.000 0.180 0.820
Ho3 0.500 0.000 0.000
Tm1 0.199 0.801 0.801
Tm2 0.801 0.199 0.199
Tm3 0.500 0.500 0.500


- Which formula does entry 3 have?
  Sm8Ho3Tm3


- Which of these has the highest DOS at the Fermi energy?
  Sm8Ho3Tm3


- Number 3 is which compound?
  Sm8Ho3Tm3